# InOs2Au | the Alexandria database | meta-GGA SCAN | PBEsol geometry
data_InOs2Au
_chemical_formula_sum 'In1 Os2 Au1'
_space_group_name_H-M_alt 'P 1 2/m 1'
_space_group_IT_number 10
_cell_length_a 2.832
_cell_length_b 4.773
_cell_length_c 4.785
_cell_angle_alpha 90.00
_cell_angle_beta 91.10
_cell_angle_gamma 90.00
loop_
_space_group_symop_operation_xyz
'x,y,z'
'-x,-y,-z'
'-x,y,-z'
'x,-y,z'
loop_
_atom_site_label
_atom_site_type_symbol
_atom_site_fract_x
_atom_site_fract_y
_atom_site_fract_z
In1 In 0.000 0.000 0.000
Os1 Os 0.249 0.500 0.739
Au1 Au 0.500 0.000 0.500
# E	-60.88	eV per atom
# M_tot	0.001	μB/atom
# volume	64.7	Å³/cell

***

# InReTe2 | the Alexandria database | meta-GGA SCAN | PBEsol geometry
data_InReTe2
_chemical_formula_sum 'In1 Re1 Te2'
_space_group_name_H-M_alt 'P 4/m m m'
_space_group_IT_number 123
_space_group_name_Hall '-P 4 2'
_cell_length_a 3.216
_cell_length_b 3.216
_cell_length_c 8.932
_cell_angle_alpha 90.00
_cell_angle_beta 90.00
_cell_angle_gamma 90.00
loop_
_atom_site_label
_atom_site_type_symbol
_atom_site_fract_x
_atom_site_fract_y
_atom_site_fract_z
In1 In 0.000 0.000 0.000
Re1 Re 0.000 0.000 0.500
Te1 Te 0.500 0.500 0.313
# E	-44.37	eV per atom
# M_tot	0.000	μB/atom
# volume	92.4	Å³/cell
# uncorrected formation energy	145	kJ/mol of formula units

***

# MnSO2 | the Alexandria database | meta-GGA SCAN | PBEsol geometry
data_MnSO2
_chemical_formula_sum 'Mn4 S4 O8'
_space_group_name_H-M_alt 'I -4 2 d'
_space_group_IT_number 122
_space_group_name_Hall 'I -4 2bw'
_cell_length_a 5.430
_cell_length_b 5.430
_cell_length_c 7.734
_cell_angle_alpha 90.00
_cell_angle_beta 90.00
_cell_angle_gamma 90.00
loop_
_atom_site_label
_atom_site_type_symbol
_atom_site_fract_x
_atom_site_fract_y
_atom_site_fract_z
Mn1 Mn 0.000 0.000 0.000
S1 S 0.000 0.000 0.500
O1 O 0.051 0.750 0.125
# E	-10.65	eV per atom
# M_tot	0.250	μB/atom
# volume	228.1	Å³/cell
# uncorrected formation energy	-217	kJ/mol of formula units

***

# Sc3BeN | the Alexandria database | meta-GGA SCAN | PBEsol geometry
data_Sc3BeN
_chemical_formula_sum 'Sc3 Be1 N1'
_space_group_name_H-M_alt 'P m -3 m'
_space_group_IT_number 221
_space_group_name_Hall '-P 4 2 3'
_cell_length_a 4.323
_cell_length_b 4.323
_cell_length_c 4.323
_cell_angle_alpha 90.00
_cell_angle_beta 90.00
_cell_angle_gamma 90.00
loop_
_atom_site_label
_atom_site_type_symbol
_atom_site_fract_x
_atom_site_fract_y
_atom_site_fract_z
Sc1 Sc 0.000 0.000 0.500
Be1 Be 0.500 0.500 0.500
N1 N 0.000 0.000 0.000
# E	-12.17	eV per atom
# M_tot	0.014	μB/atom
# volume	80.8	Å³/cell
# uncorrected formation energy	-434	kJ/mol of formula units

***

# YBeIr | the Alexandria database | meta-GGA SCAN | PBEsol geometry
data_YBeIr
_chemical_formula_sum 'Y1 Be1 Ir1'
_space_group_name_H-M_alt 'P -6 m 2'
_space_group_IT_number 187
_space_group_name_Hall 'P -6 2'
_cell_length_a 3.8847
_cell_length_b 3.8847
_cell_length_c 3.9360
_cell_angle_alpha 90.00
_cell_angle_beta 90.00
_cell_angle_gamma 120.00
loop_
_atom_site_label
_atom_site_type_symbol
_atom_site_fract_x
_atom_site_fract_y
_atom_site_fract_z
Y1 Y 0.0000 0.0000 0.0000
Be1 Be 0.3333 0.6667 0.5000
Ir1 Ir 0.6667 0.3333 0.5000
# E	-35.25	eV per atom
# M_tot	0.000	μB/atom
# offset from the most stable computed form	0	meV/atom
# volume	51.4	Å³/cell

***

# ZrCBr2 | the Alexandria database | meta-GGA SCAN | PBEsol geometry
data_ZrCBr2
_chemical_formula_sum 'Zr4 C4 Br8'
_space_group_name_H-M_alt 'I -4 2 d'
_space_group_IT_number 122
_space_group_name_Hall 'I -4 2bw'
_cell_length_a 7.043
_cell_length_b 7.043
_cell_length_c 5.745
_cell_angle_alpha 90.00
_cell_angle_beta 90.00
_cell_angle_gamma 90.00
loop_
_atom_site_label
_atom_site_type_symbol
_atom_site_fract_x
_atom_site_fract_y
_atom_site_fract_z
Zr1 Zr 0.000 0.000 0.000
C1 C 0.000 0.000 0.500
Br1 Br 0.212 0.750 0.625
# E	-18.84	eV per atom
# M_tot	0.000	μB/atom
# volume	285.0	Å³/cell
# uncorrected formation energy	422	kJ/mol of formula units

***

# Ir3SO | the Alexandria database | meta-GGA SCAN | PBEsol geometry
data_Ir3SO
_chemical_formula_sum 'Ir3 S1 O1'
_space_group_name_H-M_alt 'P m -3 m'
_space_group_IT_number 221
_space_group_name_Hall '-P 4 2 3'
_cell_length_a 4.324
_cell_length_b 4.324
_cell_length_c 4.324
_cell_angle_alpha 90.00
_cell_angle_beta 90.00
_cell_angle_gamma 90.00
loop_
_atom_site_label
_atom_site_type_symbol
_atom_site_fract_x
_atom_site_fract_y
_atom_site_fract_z
Ir1 Ir 0.000 0.000 0.500
S1 S 0.000 0.000 0.000
O1 O 0.500 0.500 0.500
# E	-44.21	eV per atom
# M_tot	0.303	μB/atom
# volume	80.8	Å³/cell
# uncorrected formation energy	782	kJ/mol of formula units

***

# ZnIn3Ag | the Alexandria database | meta-GGA SCAN | PBEsol geometry
data_ZnIn3Ag
_chemical_formula_sum 'Zn1 In3 Ag1'
_space_group_name_H-M_alt 'P m -3 m'
_space_group_IT_number 221
_space_group_name_Hall '-P 4 2 3'
_cell_length_a 5.213
_cell_length_b 5.213
_cell_length_c 5.213
_cell_angle_alpha 90.00
_cell_angle_beta 90.00
_cell_angle_gamma 90.00
loop_
_atom_site_label
_atom_site_type_symbol
_atom_site_fract_x
_atom_site_fract_y
_atom_site_fract_z
Zn1 Zn 0.000 0.000 0.000
In1 In 0.000 0.500 0.500
Ag1 Ag 0.500 0.500 0.500
# E	-28.59	eV per atom
# M_tot	0.000	μB/atom
# volume	141.7	Å³/cell